CoSnHgTe3: optimized geometry, GGA-PBE.

Properties
Its size of the total moment is 0.003 μB/atom. As for the polymorph energy (0 for the lowest one): 0.56 eV/f.u. Its calculated total energy is -3.478 eV/atom. Its space group is No. 63.

a = 6.901 Å, b = 6.901 Å, c = 12.524 Å
α = 90.00°, β = 90.00°, γ = 33.98°
Fractional positions:
Co 0.413 0.413 0.250
Co 0.587 0.587 0.750
Hg 0.000 0.000 0.000
Hg 0.000 0.000 0.500
Sn 0.764 0.764 0.250
Sn 0.236 0.236 0.750
Te 0.342 0.342 0.067
Te 0.023 0.023 0.250
Te 0.342 0.342 0.433
Te 0.658 0.658 0.567
Te 0.977 0.977 0.750
Te 0.658 0.658 0.933